Computed, not measured: crystalline Cs2BaCrO4 at its relaxed geometry at the GGA+U level of DFT.

abc: 6.4435 7.9556 7.6532
angles: 90.00 90.00 90.00
Atoms (fractional coordinates):
Cs (0.4818, 0.3413, 0.7424)
O (0.4331, 0.7215, 0.2996)
Cs (0.9818, 0.6587, 0.7576)
Cs (0.9818, 0.6587, 0.2424)
Ba (0.9961, 0.1135, 0.5000)
Ba (0.4961, 0.8865, 0.0000)
O (0.9331, 0.2785, 0.7996)
O (0.3892, 0.0423, 0.5000)
Cs (0.4818, 0.3413, 0.2576)
Cr (0.5017, 0.8329, 0.5000)
O (0.9331, 0.2785, 0.2004)
O (0.8892, 0.9577, 0.0000)
O (0.7832, 0.8519, 0.5000)
Cr (0.0017, 0.1671, 0.0000)
O (0.2832, 0.1481, 0.0000)
O (0.4331, 0.7215, 0.7004)

electronic total energy	-5.6811	eV per atom
total moment	4.0	Bohr magnetons per cell